# 1
## K2BeGe (PBE)

Data for K2BeGe after structural relaxation.

Values from the calculation:
Crystal system = monoclinic
Distance to the lowest polymorph of the same formula = 6 kJ/mol of formula units

a = 10.3076 Å, b = 3.8483 Å, c = 16.0655 Å
α = 90.00°, β = 115.18°, γ = 90.00°
Last column: nearest neighbours and their distance in Å.
Sites, in units of the cell vectors:
Be  0.9943  0.0000  0.2182  2 Be 2.16, 3 Ge 2.26-2.36
Be  0.0057  0.0000  0.7818  2 Be 2.16, 3 Ge 2.26-2.36
Be  0.9943  0.5000  0.7182  2 Be 2.16, 3 Ge 2.26-2.36
Be  0.0057  0.5000  0.2818  2 Be 2.16, 3 Ge 2.26-2.36
Ge  0.9434  0.0000  0.3419  3 Be 2.26-2.36
Ge  0.0566  0.0000  0.6581  3 Be 2.26-2.36
Ge  0.9434  0.5000  0.8419  3 Be 2.26-2.36
Ge  0.0566  0.5000  0.1581  3 Be 2.26-2.36
K  0.6720  0.0000  0.6728  1 Be 3.13
K  0.3280  0.0000  0.3272  1 Be 3.13
K  0.6720  0.5000  0.1728  1 Be 3.13
K  0.3280  0.5000  0.8272  1 Be 3.13
K  0.8167  0.0000  0.9685  4 Ge 3.44-3.56, 1 K 3.47, 1 Be 3.63
K  0.1833  0.0000  0.0315  4 Ge 3.44-3.56, 1 K 3.47, 1 Be 3.63
K  0.8167  0.5000  0.4685  4 Ge 3.44-3.56, 1 K 3.47, 1 Be 3.63
K  0.1833  0.5000  0.5315  4 Ge 3.44-3.56, 1 K 3.47, 1 Be 3.63

---

# 2
## GdAsRu (PBE)

Data for GdAsRu after structural relaxation.

Values from the calculation:
Crystal system = hexagonal
Raw total energy = -10.045 eV/atom

a = 3.9622 Å, b = 4.2338 Å, c = 4.2338 Å
α = 120.00°, β = 90.00°, γ = 90.00°
Last column: nearest neighbours and their distance in Å.
Sites, in units of the cell vectors:
Ru  0.1665  0.3333  0.6667  3 As 2.44
As  0.1668  0.0000  0.0000  3 Ru 2.44
Gd  0.6667  0.6667  0.3333  6 Ru 3.15, 6 As 3.15

---

# 3
## MnHgPt (PBE)

Data for MnHgPt after structural relaxation.

Values from the calculation:
Crystal system = orthorhombic
Distance to the lowest polymorph of the same formula = 0 kJ/mol of formula units

a = 5.1142 Å, b = 5.1142 Å, c = 5.1142 Å
α = 145.63°, β = 136.87°, γ = 56.27°
Last column: nearest neighbours and their distance in Å.
Sites, in units of the cell vectors:
Hg  0.9988  0.9988  0.0000  5 Pt 2.87-2.92, 5 Mn 2.90, 2 Hg 3.02
Mn  0.3202  0.3202  0.0000  4 Pt 2.72, 5 Hg 2.90, 2 Mn 3.02
Pt  0.6810  0.6810  0.0000  4 Mn 2.72, 5 Hg 2.87-2.92, 2 Pt 3.02

---

# 4
## Sc3VS (PBE)

Data for Sc3VS after structural relaxation.

Values from the calculation:
Crystal system = cubic
Formation energy from raw total energies = 0.430 eV/atom
Distance to the lowest polymorph of the same formula = 359 kJ/mol of formula units

a = 4.8739 Å, b = 4.8739 Å, c = 4.8739 Å
α = 90.00°, β = 90.00°, γ = 90.00°
Last column: nearest neighbours and their distance in Å.
Sites, in units of the cell vectors:
Sc  0.0000  0.5000  0.0000  2 V 2.44
Sc  0.0000  0.0000  0.5000  2 V 2.44
Sc  0.5000  0.0000  0.0000  2 V 2.44
S  0.5000  0.5000  0.5000  12 Sc 3.45
V  0.0000  0.0000  0.0000  6 Sc 2.44

---

# 5
## ReW3 (PBE)

Data for ReW3 after structural relaxation.

Values from the calculation:
Crystal system = hexagonal
Distance to the lowest polymorph of the same formula = 139 kJ/mol of formula units

a = 5.5547 Å, b = 5.5547 Å, c = 4.8191 Å
α = 90.00°, β = 90.00°, γ = 120.00°
Last column: nearest neighbours and their distance in Å.
Sites, in units of the cell vectors:
Re  0.3333  0.6667  0.2500  12 W 2.78-2.89
Re  0.6667  0.3333  0.7500  12 W 2.78-2.89
W  0.8325  0.1675  0.2500  8 W 2.76-2.90, 4 Re 2.78-2.89
W  0.1675  0.8325  0.7500  8 W 2.76-2.90, 4 Re 2.78-2.89
W  0.8325  0.6650  0.2500  8 W 2.76-2.90, 4 Re 2.78-2.89
W  0.1675  0.3350  0.7500  8 W 2.76-2.90, 4 Re 2.78-2.89
W  0.3350  0.1675  0.2500  8 W 2.76-2.90, 4 Re 2.78-2.89
W  0.6650  0.8325  0.7500  8 W 2.76-2.90, 4 Re 2.78-2.89

---

# 6
## Re4SbCl (PBE)

Data for Re4SbCl after structural relaxation.

Values from the calculation:
Crystal system = cubic
Formation energy from raw total energies = 1.196 eV/atom

a = 5.3433 Å, b = 5.3433 Å, c = 5.3433 Å
α = 60.00°, β = 60.00°, γ = 60.00°
Last column: nearest neighbours and their distance in Å.
Sites, in units of the cell vectors:
Re  0.8752  0.3749  0.3749  6 Re 2.67
Re  0.3749  0.3749  0.8752  6 Re 2.67
Re  0.3749  0.8752  0.3749  6 Re 2.67
Re  0.3749  0.3749  0.3749  6 Re 2.67
Sb  0.7500  0.7500  0.7500  12 Re 3.13, 4 Cl 3.27
Cl  0.0000  0.0000  0.0000  12 Re 3.13, 4 Sb 3.27

---

# 7
## Mg2Ga3Tc (PBE)

Data for Mg2Ga3Tc after structural relaxation.

Values from the calculation:
Crystal system = monoclinic
Distance to the lowest polymorph of the same formula = 103 kJ/mol of formula units

a = 5.3249 Å, b = 5.3282 Å, c = 8.8899 Å
α = 84.12°, β = 78.17°, γ = 60.02°
Last column: nearest neighbours and their distance in Å.
Sites, in units of the cell vectors:
Mg  0.0000  0.0000  0.0000  6 Ga 2.87-2.89, 6 Tc 3.07-3.08
Mg  0.5000  0.0000  0.5000  6 Ga 2.78-3.01, 4 Mg 3.05
Mg  0.1602  0.6795  0.5000  6 Ga 2.80-3.03, 6 Mg 2.96-3.14
Mg  0.8398  0.3205  0.5000  6 Ga 2.80-3.03, 6 Mg 2.96-3.14
Ga  0.4612  0.6188  0.7674  2 Tc 2.62, 2 Mg 2.80-2.87, 4 Ga 2.86-2.89
Ga  0.3068  0.0000  0.2328  2 Tc 2.62, 2 Mg 2.78-2.89, 4 Ga 2.86-2.89
Ga  0.5388  0.3812  0.2326  2 Tc 2.62, 2 Mg 2.80-2.87, 4 Ga 2.86-2.89
Ga  0.9200  0.6188  0.2326  2 Tc 2.62, 2 Mg 2.80-2.87, 4 Ga 2.86-2.89
Ga  0.0800  0.3812  0.7674  2 Tc 2.62, 2 Mg 2.80-2.87, 4 Ga 2.86-2.89
Ga  0.6932  0.0000  0.7672  2 Tc 2.62, 2 Mg 2.78-2.89, 4 Ga 2.86-2.89
Tc  0.6673  0.6653  0.0000  6 Ga 2.62
Tc  0.3327  0.3347  0.0000  6 Ga 2.62

---

# 8
## Ag3CI (PBE)

Data for Ag3CI after structural relaxation.

Values from the calculation:
Crystal system = cubic
Formation energy from raw total energies = 0.923 eV/atom
Distance to the lowest polymorph of the same formula = 0 kJ/mol of formula units

a = 4.5741 Å, b = 4.5741 Å, c = 4.5741 Å
α = 90.00°, β = 90.00°, γ = 90.00°
Last column: nearest neighbours and their distance in Å.
Sites, in units of the cell vectors:
I  0.5000  0.5000  0.5000  12 Ag 3.23
C  0.0000  0.0000  0.0000  6 Ag 2.29
Ag  0.0000  0.5000  0.0000  2 C 2.29
Ag  0.0000  0.0000  0.5000  2 C 2.29
Ag  0.5000  0.0000  0.0000  2 C 2.29

---

# 9
## Dy4Ga6Ru7 (PBE)

Data for Dy4Ga6Ru7 after structural relaxation.

Values from the calculation:
Crystal system = cubic
Raw total energy = -6.397 eV/atom

a = 7.2693 Å, b = 7.2693 Å, c = 7.2693 Å
α = 109.47°, β = 109.47°, γ = 109.47°
Last column: nearest neighbours and their distance in Å.
Sites, in units of the cell vectors:
Dy  0.5000  0.0000  0.0000  6 Ru 2.97, 6 Ga 3.01
Dy  0.5000  0.5000  0.5000  6 Ru 2.97, 6 Ga 3.01
Dy  0.0000  0.5000  0.0000  6 Ru 2.97, 6 Ga 3.01
Dy  0.0000  0.0000  0.5000  6 Ru 2.97, 6 Ga 3.01
Ga  0.6902  0.0000  0.6902  5 Ru 2.60-2.64
Ga  0.6902  0.6902  0.0000  5 Ru 2.60-2.64
Ga  0.0000  0.3098  0.3098  5 Ru 2.60-2.64
Ga  0.3098  0.0000  0.3098  5 Ru 2.60-2.64
Ga  0.3098  0.3098  0.0000  5 Ru 2.60-2.64
Ga  0.0000  0.6902  0.6902  5 Ru 2.60-2.64
Ru  0.7500  0.5000  0.2500  4 Ga 2.64
Ru  0.2500  0.7500  0.5000  4 Ga 2.64
Ru  0.5000  0.7500  0.2500  4 Ga 2.64
Ru  0.7500  0.2500  0.5000  4 Ga 2.64
Ru  0.2500  0.5000  0.7500  4 Ga 2.64
Ru  0.5000  0.2500  0.7500  4 Ga 2.64
Ru  0.0000  0.0000  0.0000  6 Ga 2.60